Entry 1:
The following is a PBE calculation of Ta2TcCl after structural relaxation, from the Alexandria database.

Cell: 4.563 4.563 4.563 Å, 60.00 60.00 60.00°
Element x y z (fractional)
1 Ta 0.250 0.250 0.250
2 Ta 0.750 0.750 0.750
3 Tc 0.000 0.000 0.000
4 Cl 0.500 0.500 0.500

Computed properties:
For the density of states at the Fermi level, the calculation gives 5.8 states/eV/f.u. The calculation puts the offset from the most stable computed form at 681 meV/atom. As for the space group: Fm-3m (225).

Entry 2:
The following is a PBE calculation of Ta2TcCl after structural relaxation, from the Alexandria database.

Cell: 2.925 2.925 9.691 Å, 90.00 90.00 112.95°
Element x y z (fractional)
1 Ta 0.000 0.000 0.000
2 Ta 0.500 0.500 0.248
3 Tc 0.000 0.000 0.450
4 Cl 0.500 0.500 0.799

Computed properties:
For the density of states at the Fermi level, the calculation gives 3.0 states/eV/f.u. The calculation puts the offset from the most stable computed form at 175 meV/atom. As for the space group: Cmm2 (35).

Entry 3:
The following is a PBE calculation of TaTc2Cl after structural relaxation, from the Alexandria database.

Cell: 6.426 6.426 6.426 Å, 126.58 126.58 78.93°
Element x y z (fractional)
1 Ta 0.000 0.000 0.000
2 Ta 0.750 0.250 0.500
3 Tc 0.161 0.625 0.036
4 Tc 0.375 0.411 0.536
5 Tc 0.589 0.125 0.964
6 Tc 0.875 0.839 0.464
7 Cl 0.250 0.750 0.500
8 Cl 0.500 0.500 0.000

Computed properties:
For the density of states at the Fermi level, the calculation gives 1.9 states/eV/f.u. The calculation puts the offset from the most stable computed form at 957 meV/atom. As for the space group: I-42d (122).